Entry 1:
A geometry-optimized La2MgRu structure, computed with PBE.

CIF file:
```
data_La2MgRu
_cell_length_a 5.092
_cell_length_b 5.092
_cell_length_c 5.092
_cell_angle_alpha 120.02
_cell_angle_beta 120.02
_cell_angle_gamma 89.96
_symmetry_space_group_name_H-M 'P 1'
_symmetry_Int_Tables_number 1
loop_
_symmetry_equiv_pos_as_xyz
'x,y,z'
loop_
_atom_site_label
_atom_site_type_symbol
_atom_site_fract_x
_atom_site_fract_y
_atom_site_fract_z
_atom_site_occupancy
La1 La 0.000 0.000 0.000 1
La2 La 0.250 0.750 0.500 1
Mg1 Mg 0.500 0.500 0.000 1
Ru1 Ru 0.750 0.250 0.500 1
```

formation energy	0.02	eV per atom
crystal system	cubic

Entry 2:
A geometry-optimized NdHo2In structure, computed with PBE.

CIF file:
```
data_NdHo2In
_cell_length_a 5.479
_cell_length_b 5.479
_cell_length_c 5.479
_cell_angle_alpha 60.00
_cell_angle_beta 60.00
_cell_angle_gamma 60.00
_symmetry_space_group_name_H-M 'P 1'
_symmetry_Int_Tables_number 1
loop_
_symmetry_equiv_pos_as_xyz
'x,y,z'
loop_
_atom_site_label
_atom_site_type_symbol
_atom_site_fract_x
_atom_site_fract_y
_atom_site_fract_z
_atom_site_occupancy
Nd1 Nd 0.500 0.500 0.500 1
Ho1 Ho 0.250 0.250 0.250 1
Ho2 Ho 0.750 0.750 0.750 1
In1 In 0.000 0.000 0.000 1
```

formation energy	-0.09	eV per atom
crystal system	cubic
ΔE to the lowest computed polymorph	173	meV per atom

Entry 3:
A geometry-optimized TaWCl2 structure, computed with PBE.

CIF file:
```
data_TaWCl2
_cell_length_a 7.152
_cell_length_b 7.152
_cell_length_c 4.529
_cell_angle_alpha 84.95
_cell_angle_beta 84.95
_cell_angle_gamma 24.79
_symmetry_space_group_name_H-M 'P 1'
_symmetry_Int_Tables_number 1
loop_
_symmetry_equiv_pos_as_xyz
'x,y,z'
loop_
_atom_site_label
_atom_site_type_symbol
_atom_site_fract_x
_atom_site_fract_y
_atom_site_fract_z
_atom_site_occupancy
Cl1 Cl 0.110 0.110 0.965 1
Cl2 Cl 0.390 0.390 0.535 1
W1 W 0.250 0.250 0.250 1
Ta1 Ta 0.750 0.750 0.750 1
```

formation energy without anion corrections	0.051	eV per atom
crystal system	monoclinic
ΔE to the lowest computed polymorph	468	meV per atom

Entry 4:
A geometry-optimized La4UN4 structure, computed with PBE.

CIF file:
```
data_La4UN4
_cell_length_a 3.606
_cell_length_b 6.412
_cell_length_c 8.212
_cell_angle_alpha 76.08
_cell_angle_beta 77.32
_cell_angle_gamma 73.67
_symmetry_space_group_name_H-M 'P 1'
_symmetry_Int_Tables_number 1
loop_
_symmetry_equiv_pos_as_xyz
'x,y,z'
loop_
_atom_site_label
_atom_site_type_symbol
_atom_site_fract_x
_atom_site_fract_y
_atom_site_fract_z
_atom_site_occupancy
La1 La 0.704 0.405 0.187 1
La2 La 0.889 0.831 0.392 1
La3 La 0.296 0.595 0.813 1
La4 La 0.111 0.169 0.608 1
U1 U 0.500 0.000 0.000 1
N1 N 0.322 0.095 0.261 1
N2 N 0.678 0.905 0.739 1
N3 N 0.923 0.237 0.917 1
N4 N 0.077 0.763 0.083 1
```

formation energy without anion corrections	-1.207	eV per atom
crystal system	monoclinic
ΔE to the lowest computed polymorph	0	meV per atom

Entry 5:
A geometry-optimized Li2TiS4 structure, computed with PBE.

CIF file:
```
data_Li2TiS4
_cell_length_a 6.615
_cell_length_b 7.114
_cell_length_c 7.114
_cell_angle_alpha 75.60
_cell_angle_beta 62.30
_cell_angle_gamma 62.30
_symmetry_space_group_name_H-M 'P 1'
_symmetry_Int_Tables_number 1
loop_
_symmetry_equiv_pos_as_xyz
'x,y,z'
loop_
_atom_site_label
_atom_site_type_symbol
_atom_site_fract_x
_atom_site_fract_y
_atom_site_fract_z
_atom_site_occupancy
Li1 Li 0.211 0.039 0.539 1
Li2 Li 0.500 0.000 0.000 1
Li3 Li 0.500 0.500 0.500 1
Li4 Li 0.789 0.961 0.461 1
Ti1 Ti 0.000 0.500 0.000 1
Ti2 Ti 0.500 0.500 0.000 1
S1 S 0.211 0.345 0.233 1
S2 S 0.211 0.733 0.845 1
S3 S 0.364 0.226 0.726 1
S4 S 0.685 0.226 0.726 1
S5 S 0.315 0.774 0.274 1
S6 S 0.789 0.267 0.155 1
S7 S 0.636 0.774 0.274 1
S8 S 0.789 0.655 0.767 1
```

formation energy without anion corrections	-1.021	eV per atom
crystal system	orthorhombic

Entry 6:
A geometry-optimized VOs3Rh structure, computed with PBE.

CIF file:
```
data_VOs3Rh
_cell_length_a 4.641
_cell_length_b 4.641
_cell_length_c 4.641
_cell_angle_alpha 90.00
_cell_angle_beta 90.00
_cell_angle_gamma 90.00
_symmetry_space_group_name_H-M 'P 1'
_symmetry_Int_Tables_number 1
loop_
_symmetry_equiv_pos_as_xyz
'x,y,z'
loop_
_atom_site_label
_atom_site_type_symbol
_atom_site_fract_x
_atom_site_fract_y
_atom_site_fract_z
_atom_site_occupancy
Os1 Os 0.000 0.500 0.000 1
Os2 Os 0.000 0.000 0.500 1
Os3 Os 0.500 0.000 0.000 1
Rh1 Rh 0.000 0.000 0.000 1
V1 V 0.500 0.500 0.500 1
```

formation energy	2.42	eV per atom
crystal system	cubic
ΔE to the lowest computed polymorph	1204	meV per atom

Entry 7:
A geometry-optimized AcBPt4 structure, computed with PBE.

CIF file:
```
data_AcBPt4
_cell_length_a 5.204
_cell_length_b 5.204
_cell_length_c 9.958
_cell_angle_alpha 105.15
_cell_angle_beta 105.15
_cell_angle_gamma 90.00
_symmetry_space_group_name_H-M 'P 1'
_symmetry_Int_Tables_number 1
loop_
_symmetry_equiv_pos_as_xyz
'x,y,z'
loop_
_atom_site_label
_atom_site_type_symbol
_atom_site_fract_x
_atom_site_fract_y
_atom_site_fract_z
_atom_site_occupancy
Ac1 Ac 0.000 0.000 0.000 1
Ac2 Ac 0.750 0.250 0.500 1
B1 B 0.500 0.500 0.000 1
B2 B 0.250 0.750 0.500 1
Pt1 Pt 0.586 0.333 0.171 1
Pt2 Pt 0.588 0.836 0.671 1
Pt3 Pt 0.083 0.836 0.671 1
Pt4 Pt 0.586 0.838 0.171 1
Pt5 Pt 0.164 0.412 0.329 1
Pt6 Pt 0.667 0.414 0.829 1
Pt7 Pt 0.162 0.414 0.829 1
Pt8 Pt 0.164 0.917 0.329 1
```

formation energy	-0.44	eV per atom
crystal system	tetragonal
ΔE to the lowest computed polymorph	220	meV per atom

Entry 8:
A geometry-optimized Tb2LuTc structure, computed with PBE.

CIF file:
```
data_Tb2LuTc
_cell_length_a 3.475
_cell_length_b 3.475
_cell_length_c 8.652
_cell_angle_alpha 90.00
_cell_angle_beta 90.00
_cell_angle_gamma 90.00
_symmetry_space_group_name_H-M 'P 1'
_symmetry_Int_Tables_number 1
loop_
_symmetry_equiv_pos_as_xyz
'x,y,z'
loop_
_atom_site_label
_atom_site_type_symbol
_atom_site_fract_x
_atom_site_fract_y
_atom_site_fract_z
_atom_site_occupancy
Lu1 Lu 0.500 0.500 0.500 1
Tb1 Tb 0.000 0.000 0.809 1
Tb2 Tb 0.000 0.000 0.191 1
Tc1 Tc 0.500 0.500 0.000 1
```

formation energy	0.05	eV per atom
crystal system	tetragonal
ΔE to the lowest computed polymorph	0	meV per atom